VASP calculation (PBE) on a relaxed structure of NaRuSCl2.

a = 4.871 Å, b = 4.871 Å, c = 5.170 Å
α = 90.00°, β = 90.00°, γ = 90.00°
Site moments in Bohr magnetons follow the coordinates.
Fractional positions:
Ru 0.500 0.500 0.500  3.15
S 0.000 0.000 0.500  0.69
Na 0.000 0.000 0.000  0.00
Cl 0.000 0.500 0.000  0.20
Cl 0.500 0.000 0.000  0.20

## Properties
* energy above the lowest structure with this stoichiometry: 1213.6 meV/atom
* energy relative to the elements, uncorrected: 0.65 eV per atom
* calculated volume: 122.7 Å³/cell
* total moment: 5.01 μB/cell
* space-group type: P4/mmm (123)